Record 1
Entry from the Alexandria database: In2HgAs at its PBEsol-relaxed geometry (meta-GGA SCAN).

abc: 7.3143 7.3143 7.3143
angles: 32.05 32.05 32.05
Atoms (fractional coordinates):
In 0.2415 0.2415 0.2415
In 0.7585 0.7585 0.7585
Hg 0.0000 0.0000 0.0000
As 0.5000 0.5000 0.5000

## Properties
**Energy relative to the lowest polymorph listed for this composition**: 0.0 kJ/mol of formula units
**Crystal system**: trigonal
**Mass density**: 8568 kg/m3
**Formation energy**: -0.0739 eV/atom
**N(E_F)**: 1.40 states/eV/cell

Record 2
Entry from the Alexandria database: InHg2As at its PBEsol-relaxed geometry (meta-GGA SCAN).

abc: 3.3045 3.3045 8.2304
angles: 90.00 90.00 90.00
Atoms (fractional coordinates):
In 0.0000 0.0000 0.0000
Hg 0.0000 0.0000 0.4739
Hg 0.5000 0.5000 0.7311
As 0.5000 0.5000 0.2319

## Properties
**Crystal system**: tetragonal
**Mass density**: 10918 kg/m3
**Formation energy**: 0.2113 eV/atom
**N(E_F)**: 2.35 states/eV/cell

Record 3
Entry from the Alexandria database: InHgAs at its PBEsol-relaxed geometry (meta-GGA SCAN).

abc: 3.1929 3.1929 7.5343
angles: 90.00 90.00 120.00
Atoms (fractional coordinates):
In 0.0000 0.0000 0.0000
Hg 0.6667 0.3333 0.3495
As 0.3333 0.6667 0.6768

## Properties
**Crystal system**: trigonal
**Mass density**: 9744 kg/m3
**Formation energy**: 0.2870 eV/atom
**N(E_F)**: 1.22 states/eV/cell